DFT (GGA+U) results for crystalline ScCoNO at its relaxed geometry.

## Properties
magnetic moment = 0.89 μB/f.u.
total DFT energy (no corrections) = -7.435 eV/atom

Geometry as extended XYZ:
```
8
Lattice="3.556 0.000 0.000 0.000 3.556 0.000 0.000 0.000 6.700" Properties=species:S:1:pos:R:3 pbc="T T T"
Co 0.000 0.000 3.350
Co 1.778 1.778 3.350
N 1.778 0.000 2.614
N 0.000 1.778 4.087
O 0.000 0.000 0.000
O 1.778 1.778 0.000
Sc 0.000 1.778 1.025
Sc 1.778 0.000 5.675
```